# RbVGaF6

RbVGaF6 after structural relaxation (PBE+U, Alexandria via LeMat-Bulk).

Cell lengths 5.468, 9.511, 6.016 Å; angles 90.00, 90.24, 90.00 degrees
Space group C2 (No. 5)
Symmetry-distinct sites (fractional):
Rb1 0.000 0.000 0.000 [2 per cell]
V1 0.000 0.334 0.500 [2 per cell]
Ga1 0.000 0.666 0.500 [2 per cell]
F1 0.122 0.513 0.320 [4 per cell]
F2 0.168 0.805 0.320 [4 per cell]
F3 0.206 0.182 0.321 [4 per cell]

Properties
Magnetic moment ... 3.00 μB/f.u.
Final energy ... -5.257 eV/atom